[1]
A plane-wave DFT calculation with PBE-GGA was carried out for a relaxed Ca2Ag2Pt crystal.

Cell and atoms, written as POSCAR:
```
Ca2Ag2Pt
1.0
7.3449 0.0000 0.0000
0.0000 7.3449 0.0000
0.0000 0.0000 4.2903
Ca Ag Pt
4 4 2
direct
0.1805 0.3195 0.0000
0.3195 0.8195 0.0000
0.6805 0.1805 0.0000
0.8195 0.6805 0.0000
0.1316 0.6316 0.5000
0.3684 0.1316 0.5000
0.6316 0.8684 0.5000
0.8684 0.3684 0.5000
0.0000 0.0000 0.5000
0.5000 0.5000 0.5000
```

ΔE_f   -0.370 eV/atom
V   115.7 Å³/f.u.
SG   P4/mbm
Crystal system   tetragonal


[2]
A plane-wave DFT calculation with PBE-GGA was carried out for a relaxed Ac4Tm3Sn5 crystal.

Cell and atoms, written as POSCAR:
```
Ac4Tm3Sn5
1.0
6.9654 -2.7036 0.0000
6.9654 2.7036 0.0000
-5.9554 0.0000 11.4563
Ac Tm Sn
4 3 5
direct
0.1214 0.1214 0.3302
0.1358 0.1358 0.9966
0.8642 0.8642 0.0034
0.8786 0.8786 0.6698
0.1832 0.1832 0.7322
0.5000 0.5000 0.5000
0.8168 0.8168 0.2678
0.0000 0.0000 0.5000
0.4007 0.4007 0.2160
0.4270 0.4270 0.8666
0.5730 0.5730 0.1334
0.5993 0.5993 0.7840
```

ΔE_f   -0.414 eV/atom
V   431.5 Å³/f.u.
SG   C2/m
Crystal system   monoclinic